No. 1
Ce3TmSn5 | PBE-GGA | relaxed

Values from the calculation:
**Energy of formation from the pure elements**: -5.599 eV per formula unit
**Final energy**: -5.32 eV per atom
**Symmetry**: No. 193

Lattice parameters (Å, degrees): 6.4454 9.4046 9.4046 120.00 90.00 90.00
Last column: nearest neighbours and their distance in Å.
Sites, in units of the cell vectors:
Sn  0.2500  0.2810  0.0000  2 Tm 3.10, 5 Ce 3.16-3.36
Sn  0.5000  0.6667  0.3333  2 Sn 3.22, 6 Ce 3.34
Sn  0.7500  0.7190  0.0000  2 Tm 3.10, 5 Ce 3.16-3.36
Sn  0.0000  0.6667  0.3333  2 Sn 3.22, 6 Ce 3.34
Ce  0.2500  0.0000  0.6168  9 Sn 3.16-3.36
Sn  0.2500  0.0000  0.2810  2 Tm 3.10, 5 Ce 3.16-3.36
Tm  0.5000  0.0000  0.0000  6 Sn 3.10, 2 Tm 3.22
Ce  0.7500  0.6168  0.6168  9 Sn 3.16-3.36
Tm  0.0000  0.0000  0.0000  6 Sn 3.10, 2 Tm 3.22
Sn  0.2500  0.7190  0.7190  2 Tm 3.10, 5 Ce 3.16-3.36
Ce  0.7500  0.3832  0.0000  9 Sn 3.16-3.36
Sn  0.7500  0.0000  0.7190  2 Tm 3.10, 5 Ce 3.16-3.36
Ce  0.7500  0.0000  0.3832  9 Sn 3.16-3.36
Ce  0.2500  0.3832  0.3832  9 Sn 3.16-3.36
Sn  0.7500  0.2810  0.2810  2 Tm 3.10, 5 Ce 3.16-3.36
Sn  0.0000  0.3333  0.6667  2 Sn 3.22, 6 Ce 3.34
Ce  0.2500  0.6168  0.0000  9 Sn 3.16-3.36
Sn  0.5000  0.3333  0.6667  2 Sn 3.22, 6 Ce 3.34


No. 2
CeTm6Sn4 | PBE-GGA | relaxed

Values from the calculation:
**Energy of formation from the pure elements**: -2.942 eV per formula unit
**Final energy**: -4.70 eV per atom
**Symmetry**: No. 121

Lattice parameters (Å, degrees): 8.0026 8.0026 8.0026 87.19 121.63 121.63
Last column: nearest neighbours and their distance in Å.
Sites, in units of the cell vectors:
Ce  0.0000  0.0000  0.0000  4 Sn 3.36
Sn  0.4206  0.7992  0.7992  6 Tm 2.98-3.17
Sn  0.5794  0.3785  0.3785  6 Tm 2.98-3.17
Tm  0.5000  0.5000  0.0000  4 Sn 2.98
Tm  0.3289  0.4829  0.4829  4 Sn 3.00-3.17
Sn  0.0000  0.6215  0.2008  6 Tm 2.98-3.17
Tm  0.5000  0.0000  0.5000  4 Sn 2.98
Tm  0.6711  0.1540  0.1540  4 Sn 3.00-3.17
Sn  0.0000  0.2008  0.6215  6 Tm 2.98-3.17
Tm  0.0000  0.5171  0.8460  4 Sn 3.00-3.17
Tm  0.0000  0.8460  0.5171  4 Sn 3.00-3.17


No. 3
Ce2Tm3Sn4 | PBE-GGA | relaxed

Values from the calculation:
**Energy of formation from the pure elements**: -4.890 eV per formula unit
**Final energy**: -5.13 eV per atom
**Symmetry**: No. 64

Lattice parameters (Å, degrees): 6.9947 8.8694 9.1918 90.00 112.36 90.00
Last column: nearest neighbours and their distance in Å.
Sites, in units of the cell vectors:
Ce  0.8895  0.4139  0.7790  6 Sn 3.32-3.70
Tm  0.0416  0.7500  0.5832  5 Sn 3.00-3.24
Ce  0.6105  0.9139  0.2210  6 Sn 3.32-3.70
Tm  0.9584  0.2500  0.4168  5 Sn 3.00-3.24
Sn  0.2179  0.7500  0.9358  3 Tm 2.88-3.00
Sn  0.8145  0.0542  0.6291  5 Tm 3.05-3.24
Ce  0.3895  0.0861  0.7790  6 Sn 3.32-3.70
Sn  0.1855  0.9458  0.3709  5 Tm 3.05-3.24
Sn  0.3145  0.4458  0.6291  5 Tm 3.05-3.24
Sn  0.7179  0.7500  0.9358  3 Tm 2.88-3.00
Tm  0.5000  0.5000  0.0000  6 Sn 2.88-3.19
Ce  0.1105  0.5861  0.2210  6 Sn 3.32-3.70
Tm  0.0000  0.0000  0.0000  6 Sn 2.88-3.19
Tm  0.4584  0.2500  0.4168  5 Sn 3.00-3.24
Sn  0.2821  0.2500  0.0642  3 Tm 2.88-3.00
Sn  0.7821  0.2500  0.0642  3 Tm 2.88-3.00
Sn  0.6855  0.5542  0.3709  5 Tm 3.05-3.24
Tm  0.5416  0.7500  0.5832  5 Sn 3.00-3.24


No. 4
CeTm3Sn2 | PBE-GGA | relaxed

Values from the calculation:
**Energy of formation from the pure elements**: -2.555 eV per formula unit
**Final energy**: -4.98 eV per atom
**Symmetry**: No. 12

Lattice parameters (Å, degrees): 4.5461 10.3573 9.3667 124.44 90.00 102.68
Last column: nearest neighbours and their distance in Å.
Sites, in units of the cell vectors:
Tm  0.0571  0.1142  0.4257  3 Sn 3.04-3.26, 3 Tm 3.31-3.32
Sn  0.2430  0.4860  0.7764  7 Tm 3.16-3.48, 2 Ce 3.29
Sn  0.4870  0.9741  0.8302  1 Sn 2.91, 3 Tm 3.04-3.11, 2 Ce 3.24
Ce  0.8849  0.7698  0.9079  6 Sn 3.24-3.42, 1 Tm 3.54
Tm  0.9429  0.8858  0.5743  3 Sn 3.04-3.26, 3 Tm 3.31-3.32
Sn  0.7570  0.5140  0.2236  7 Tm 3.16-3.48, 2 Ce 3.29
Tm  0.3071  0.6141  0.5029  4 Sn 3.11-3.48, 4 Tm 3.22-3.32
Tm  0.6929  0.3859  0.4971  4 Sn 3.11-3.48, 4 Tm 3.22-3.32
Tm  0.3607  0.7214  0.2019  4 Sn 3.18-3.26
Ce  0.1151  0.2302  0.0921  6 Sn 3.24-3.42, 1 Tm 3.54
Tm  0.6393  0.2786  0.7981  4 Sn 3.18-3.26
Sn  0.5130  0.0259  0.1698  1 Sn 2.91, 3 Tm 3.04-3.11, 2 Ce 3.24


No. 5
CeTm2Sn | PBE-GGA | relaxed

Values from the calculation:
**Energy of formation from the pure elements**: 0.241 eV per formula unit
**Final energy**: -4.66 eV per atom
**Symmetry**: No. 166

Lattice parameters (Å, degrees): 3.4436 3.4436 11.9020 81.68 81.68 60.00
Last column: nearest neighbours and their distance in Å.
Sites, in units of the cell vectors:
Ce  0.5000  0.5000  0.5000  6 Tm 3.42, 6 Ce 3.44
Tm  0.9122  0.9122  0.2633  1 Sn 3.09, 3 Ce 3.42, 6 Tm 3.44
Tm  0.0878  0.0878  0.7367  1 Sn 3.09, 3 Ce 3.42, 6 Tm 3.44
Sn  0.0000  0.0000  0.0000  2 Tm 3.09, 6 Sn 3.44


No. 6
CeTm2Sn | PBE-GGA | relaxed

Values from the calculation:
**Energy of formation from the pure elements**: -0.661 eV per formula unit
**Final energy**: -4.89 eV per atom
**Symmetry**: No. 225

Lattice parameters (Å, degrees): 5.3232 5.3232 5.3232 60.00 60.00 60.00
Last column: nearest neighbours and their distance in Å.
Sites, in units of the cell vectors:
Ce  0.5000  0.5000  0.5000  8 Tm 3.26
Sn  0.0000  0.0000  0.0000  8 Tm 3.26
Tm  0.2500  0.2500  0.2500  4 Ce 3.26, 4 Sn 3.26
Tm  0.7500  0.7500  0.7500  4 Sn 3.26, 4 Ce 3.26


No. 7
CeTm2Sn | PBE-GGA | relaxed

Values from the calculation:
**Energy of formation from the pure elements**: -0.989 eV per formula unit
**Final energy**: -4.97 eV per atom
**Symmetry**: No. 123

Lattice parameters (Å, degrees): 3.8090 3.8090 7.6683 90.00 90.00 90.00
Last column: nearest neighbours and their distance in Å.
Sites, in units of the cell vectors:
Tm  0.0000  0.0000  0.7762  4 Sn 3.19, 4 Ce 3.43, 1 Tm 3.43
Sn  0.5000  0.5000  0.0000  8 Tm 3.19
Tm  0.0000  0.0000  0.2238  4 Sn 3.19, 4 Ce 3.43, 1 Tm 3.43
Ce  0.5000  0.5000  0.5000  8 Tm 3.43, 4 Ce 3.81, 2 Sn 3.83


No. 8
CeTm2Sn | PBE-GGA | relaxed

Values from the calculation:
**Energy of formation from the pure elements**: -1.512 eV per formula unit
**Final energy**: -5.10 eV per atom
**Symmetry**: No. 123

Lattice parameters (Å, degrees): 4.6174 4.8327 4.8327 90.00 90.00 90.00
Last column: nearest neighbours and their distance in Å.
Sites, in units of the cell vectors:
Tm  0.0000  0.5000  0.0000  4 Ce 3.34, 4 Sn 3.34, 4 Tm 3.42
Tm  0.0000  0.0000  0.5000  4 Ce 3.34, 4 Sn 3.34, 4 Tm 3.42
Ce  0.5000  0.5000  0.5000  8 Tm 3.34, 4 Sn 3.42
Sn  0.5000  0.0000  0.0000  8 Tm 3.34, 4 Ce 3.42


Among the records above, which one has the lowest energy of formation from the pure elements?
Ce3TmSn5